No. 1
CaNbCd2I | meta-GGA SCAN | single point on PBEsol structure

## Properties
The uncorrected formation energy comes out at 1101 meV per atom.

Cell and atoms, written as POSCAR:
```
CaNbCd2I
1.0
-3.843 -0.192 3.947
4.025 -0.403 3.899
0.153 5.601 0.421
Ca Nb Cd I
1 1 2 1
direct
0.500 0.000 0.000
0.500 0.500 0.500
0.000 0.000 0.500
0.000 0.500 0.000
0.000 0.000 0.000
```

=====

No. 2
Zr3HgPb | meta-GGA SCAN | single point on PBEsol structure

## Properties
Its energy relative to the elements is 0.91 eV/atom.

Cell and atoms, written as POSCAR:
```
Zr3HgPb
1.0
-3.541 2.434 3.081
2.375 -1.977 4.291
3.128 4.258 0.231
Zr Pb Hg
3 1 1
direct
0.000 0.000 0.500
0.000 0.500 0.000
0.500 0.000 0.000
0.000 0.000 0.000
0.500 0.500 0.500
```

=====

No. 3
KMgPt2Au | meta-GGA SCAN | single point on PBEsol structure

## Properties
Its energy relative to the elements is 0.68 eV/atom.

Cell and atoms, written as POSCAR:
```
KMgPt2Au
1.0
4.670 0.000 0.000
0.000 4.670 0.000
0.000 0.000 5.139
Mg Pt K Au
1 2 1 1
direct
0.000 0.000 0.000
0.500 0.000 0.000
0.000 0.500 0.000
0.000 0.000 0.500
0.500 0.500 0.500
```

=====

What did the third record say?
KMgPt2Au | meta-GGA SCAN | single point on PBEsol structure

## Properties
Its energy relative to the elements is 0.68 eV/atom.

Cell and atoms, written as POSCAR:
```
KMgPt2Au
1.0
4.670 0.000 0.000
0.000 4.670 0.000
0.000 0.000 5.139
Mg Pt K Au
1 2 1 1
direct
0.000 0.000 0.000
0.500 0.000 0.000
0.000 0.500 0.000
0.000 0.000 0.500
0.500 0.500 0.500
```

=====

Repeat the second record exactly.
Zr3HgPb | meta-GGA SCAN | single point on PBEsol structure

## Properties
Its energy relative to the elements is 0.91 eV/atom.

Cell and atoms, written as POSCAR:
```
Zr3HgPb
1.0
-3.541 2.434 3.081
2.375 -1.977 4.291
3.128 4.258 0.231
Zr Pb Hg
3 1 1
direct
0.000 0.000 0.500
0.000 0.500 0.000
0.500 0.000 0.000
0.000 0.000 0.000
0.500 0.500 0.500
```